Entry 1:
# ZnRuAu2, optimized geometry, DFT PBE
# DOS(E_F) in states/eV/cell: 2.84
# Volume in A^3/atom: 16.2
# E_form in eV/atom: 0.223
data_ZnRuAu2
_chemical_formula_sum 'Zn1 Ru1 Au2'
_cell_length_a 5.475
_cell_length_b 5.475
_cell_length_c 5.475
_cell_angle_alpha 149.42
_cell_angle_beta 128.65
_cell_angle_gamma 60.96
_symmetry_space_group_name_H-M 'P 1'
_symmetry_Int_Tables_number 1
loop_
_symmetry_equiv_pos_as_xyz
'x,y,z'
loop_
_atom_site_label
_atom_site_type_symbol
_atom_site_fract_x
_atom_site_fract_y
_atom_site_fract_z
_atom_site_occupancy
Zn1 Zn 0.250 0.750 0.500 1
Au1 Au 0.490 0.490 0.000 1
Au2 Au 0.010 0.010 0.000 1
Ru1 Ru 0.750 0.250 0.500 1

Entry 2:
# ZnRuAu2, optimized geometry, DFT PBE
# DOS(E_F) in states/eV/cell: 4.74
# Volume in A^3/atom: 16.2
# E_form in eV/atom: 0.190
data_ZnRuAu2
_chemical_formula_sum 'Zn1 Ru1 Au2'
_cell_length_a 4.814
_cell_length_b 4.814
_cell_length_c 4.814
_cell_angle_alpha 129.58
_cell_angle_beta 129.58
_cell_angle_gamma 74.08
_symmetry_space_group_name_H-M 'P 1'
_symmetry_Int_Tables_number 1
loop_
_symmetry_equiv_pos_as_xyz
'x,y,z'
loop_
_atom_site_label
_atom_site_type_symbol
_atom_site_fract_x
_atom_site_fract_y
_atom_site_fract_z
_atom_site_occupancy
Ru1 Ru 0.500 0.500 0.000 1
Zn1 Zn 0.750 0.250 0.500 1
Au1 Au 0.250 0.750 0.500 1
Au2 Au 0.000 0.000 0.000 1

Entry 3:
# ZnRuAu4, optimized geometry, DFT PBE
# DOS(E_F) in states/eV/cell: 7.02
# Volume in A^3/atom: 18.8
# E_form in eV/atom: 0.510
data_ZnRuAu4
_chemical_formula_sum 'Zn1 Ru1 Au4'
_cell_length_a 5.427
_cell_length_b 5.427
_cell_length_c 5.427
_cell_angle_alpha 60.00
_cell_angle_beta 60.00
_cell_angle_gamma 60.00
_symmetry_space_group_name_H-M 'P 1'
_symmetry_Int_Tables_number 1
loop_
_symmetry_equiv_pos_as_xyz
'x,y,z'
loop_
_atom_site_label
_atom_site_type_symbol
_atom_site_fract_x
_atom_site_fract_y
_atom_site_fract_z
_atom_site_occupancy
Ru1 Ru 0.750 0.750 0.750 1
Zn1 Zn 0.000 0.000 0.000 1
Au1 Au 0.375 0.375 0.875 1
Au2 Au 0.375 0.875 0.375 1
Au3 Au 0.875 0.375 0.375 1
Au4 Au 0.375 0.375 0.375 1